Compound: TbPr4Bi5
Source: Alexandria via LeMat-Bulk
Functional: PBE-GGA
Structure: relaxed

Cell: 4.6153 4.6153 16.6175 Å, 97.98 97.98 90.00°
Element x y z (fractional)
Bi 0.7000 0.7000 0.4000
Bi 0.9019 0.9019 0.8039
Bi 0.5000 0.5000 0.0000
Bi 0.0981 0.0981 0.1961
Bi 0.3000 0.3000 0.6000
Pr 0.4005 0.4005 0.8010
Pr 0.8009 0.8009 0.6017
Pr 0.5995 0.5995 0.1990
Pr 0.1991 0.1991 0.3983
Tb 0.0000 0.0000 0.0000

As for the calculated total energy: -5.2551 eV per atom. The volume is 34.7 Å³ per atom. Its crystal system is tetragonal. Its energy of formation from the pure elements is -0.9398 eV per atom.